Record 1
! TiGePt2 PBE optimized geometry; values from VASP
&SYSTEM
  ibrav = 0, nat = 4, ntyp = 3
/
ATOMIC_SPECIES
Ge 72.64 Ge.upf
Ti 47.87 Ti.upf
Pt 195.08 Pt.upf
ATOMIC_POSITIONS crystal
Ge 0.5000 0.5000 0.5000
Ti 0.5000 0.0000 0.0000
Pt 0.0000 0.5000 0.0000
Pt 0.0000 0.0000 0.5000
CELL_PARAMETERS angstrom
4.0440 0.0000 0.0000
0.0000 3.9216 0.0000
0.0000 0.0000 3.9216
! VASP energy   -27.09 eV for the cell shown
! Crystal system   tetragonal

=====

Record 2
! TiGePt2 PBE optimized geometry; values from VASP
&SYSTEM
  ibrav = 0, nat = 8, ntyp = 3
/
ATOMIC_SPECIES
Ge 72.64 Ge.upf
Pt 195.08 Pt.upf
Ti 47.87 Ti.upf
ATOMIC_POSITIONS crystal
Ge 0.7500 0.2500 0.5000
Ge 0.0000 0.0000 0.0000
Pt 0.3750 0.3661 0.7500
Pt 0.8750 0.8839 0.7500
Pt 0.1161 0.6250 0.2500
Ti 0.2500 0.7500 0.5000
Ti 0.5000 0.5000 0.0000
Pt 0.6339 0.1250 0.2500
CELL_PARAMETERS angstrom
-3.6771 -4.3027 0.4033
3.6377 -3.3676 -2.7609
2.2883 -5.3494 3.7090
! VASP energy   -50.86 eV for the cell shown
! Crystal system   tetragonal

=====

Record 3
! TiGePt3 PBE optimized geometry; values from VASP
&SYSTEM
  ibrav = 0, nat = 5, ntyp = 3
/
ATOMIC_SPECIES
Ge 72.64 Ge.upf
Pt 195.08 Pt.upf
Ti 47.87 Ti.upf
ATOMIC_POSITIONS crystal
Ge 0.5000 0.5000 0.5000
Pt 0.5000 0.0000 0.0000
Pt 0.0000 0.0000 0.5000
Ti 0.0000 0.0000 0.0000
Pt 0.0000 0.5000 0.0000
CELL_PARAMETERS angstrom
-3.9416 -1.3617 2.2197
2.4911 -0.7982 3.9339
-0.7589 4.4527 1.3840
! Relative energy among the computed polymorphs   172 meV/atom
! Crystal system   cubic

=====

Record 4
! TiGe4Pt2 PBE optimized geometry; values from VASP
&SYSTEM
  ibrav = 0, nat = 7, ntyp = 3
/
ATOMIC_SPECIES
Ge 72.64 Ge.upf
Pt 195.08 Pt.upf
Ti 47.87 Ti.upf
ATOMIC_POSITIONS crystal
Ge 0.7992 0.7992 0.4016
Ge 0.2008 0.2008 0.5984
Ge 0.0000 0.5000 0.0000
Pt 0.3904 0.3904 0.2192
Pt 0.6096 0.6096 0.7808
Ge 0.5000 0.0000 0.0000
Ti 0.0000 0.0000 0.0000
CELL_PARAMETERS angstrom
-2.3508 -2.7506 -3.2242
3.8040 -2.9950 -0.2184
-1.6748 -6.2613 2.9203
! VASP energy   -37.62 eV for the cell shown
! Crystal system   tetragonal

=====

Result set for mass density: 13.64 9.38 11.12 8.27 g cm⁻³, one per record in the order listed.
Result set for Fermi-level density of states: 3.53 1.78 2.82 2.51 states/eV/f.u., one per record in the order listed.